Record 1
DFT (GGA-PBE) results for a relaxed structure of Dy3Ga4Cu4.

Properties
Theoretical density ... 8.453 g/cm3
Symmetry ... No. 71
ΔE to the lowest computed polymorph ... 0 meV per atom
Total DFT energy (no corrections) ... -4.294 eV/atom
Calculated formation energy ... -0.449 eV per atom

Lattice parameters (Å, degrees): 8.027 8.027 8.027 149.36 129.92 59.86
Fractional positions:
Dy1 0.000 0.000 0.000
Dy2 0.370 0.870 0.500
Dy3 0.630 0.130 0.500
Ga1 0.218 0.218 0.000
Ga2 0.313 0.500 0.813
Ga3 0.687 0.500 0.187
Ga4 0.782 0.782 0.000
Cu1 0.016 0.329 0.687
Cu2 0.358 0.671 0.687
Cu3 0.642 0.329 0.313
Cu4 0.984 0.671 0.313



Record 2
DFT (GGA-PBE) results for a relaxed structure of KHoPb2I8.

Properties
Uncorrected formation energy ... -11.89 eV per formula unit
Theoretical density ... 4.883 g/cm3
Symmetry ... No. 2
Total DFT energy (no corrections) ... -3.116 eV/atom

Lattice parameters (Å, degrees): 7.342 7.788 9.717 89.98 89.94 88.96
Fractional positions:
K1 0.000 0.000 0.000
Ho1 0.000 0.000 0.500
Pb1 0.500 0.500 0.251
Pb2 0.500 0.500 0.749
I1 0.234 0.325 0.500
I2 0.243 0.847 0.720
I3 0.244 0.848 0.280
I4 0.267 0.363 0.000
I5 0.733 0.637 0.000
I6 0.756 0.152 0.720
I7 0.757 0.153 0.280
I8 0.766 0.675 0.500



Record 3
DFT (GGA-PBE) results for a relaxed structure of TaV2Pd2.

Properties
Theoretical density ... 10.658 g/cm3
Symmetry ... No. 127
ΔE to the lowest computed polymorph ... 0 meV per atom
Total DFT energy (no corrections) ... -8.091 eV/atom
Calculated formation energy ... 0.004 eV per atom

Lattice parameters (Å, degrees): 7.575 7.575 2.692 90.00 90.00 90.00
Fractional positions:
Ta1 0.000 0.000 0.000
Ta2 0.500 0.500 0.000
V1 0.172 0.328 0.500
V2 0.328 0.828 0.500
V3 0.672 0.172 0.500
V4 0.828 0.672 0.500
Pd1 0.126 0.626 0.000
Pd2 0.374 0.126 0.000
Pd3 0.626 0.874 0.000
Pd4 0.874 0.374 0.000